Record 1
A plane-wave DFT calculation with PBE-GGA was carried out for a relaxed structure of Pm4Cd3Ag5.

Computed properties:
- Crystal system: monoclinic
- Size of the total moment: 0.0 μB per formula unit
- Uncorrected energy: -37.31 eV for the cell shown
- SG: No. 12

Geometry as POSCAR:
```
Pm4Cd3Ag5
1.0
-0.8493 3.4707 3.6254
-6.5749 2.7514 -0.6008
-3.4652 -4.8887 7.4419
Pm Ag Cd
4 5 3
Direct
0.0217 0.7431 0.2135
0.2507 0.7214 0.7773
0.7493 0.2786 0.2227
0.9783 0.2569 0.7865
0.5783 0.9896 0.8539
0.5000 0.5000 0.5000
0.3081 0.3835 0.0003
0.6919 0.6165 0.9997
0.4217 0.0104 0.1461
0.3085 0.9435 0.4396
0.6915 0.0565 0.5604
0.0000 0.5000 0.5000
```


Record 2
A plane-wave DFT calculation with PBE-GGA was carried out for a relaxed structure of ThSiPb.

Computed properties:
- Crystal system: orthorhombic
- E_form (uncorrected): -0.418 eV/atom
- Energy relative to the lowest polymorph listed for this composition: 0.0 meV/atom
- Size of the total moment: 0.0 μB per formula unit
- SG: No. 63

Geometry as POSCAR:
```
ThSiPb
1.0
4.1038 0.0000 0.0000
0.0000 4.0704 -0.9442
0.0000 0.0131 9.3022
Si Pb Th
2 2 2
Direct
0.2500 0.5367 0.0734
0.7500 0.4633 0.9266
0.7500 0.2978 0.5957
0.2500 0.7022 0.4043
0.2500 0.9095 0.8189
0.7500 0.0905 0.1811
```


Record 3
A plane-wave DFT calculation with PBE-GGA was carried out for a relaxed structure of MgScIn2.

Computed properties:
- Crystal system: orthorhombic
- Size of the total moment: 0.0 μB per formula unit
- Uncorrected energy: -14.54 eV for the cell shown
- SG: No. 65

Geometry as POSCAR:
```
MgScIn2
1.0
7.2435 -0.0042 -0.0125
-2.8838 4.5364 0.0060
1.4760 0.9374 2.7606
In Sc Mg
2 1 1
Direct
0.0000 0.0000 0.0000
0.5000 0.0000 0.5000
0.5000 0.5000 0.0000
0.0000 0.5000 0.5000
```


Record 4
A plane-wave DFT calculation with PBE-GGA was carried out for a relaxed structure of TlAu.

Computed properties:
- Crystal system: cubic
- Size of the total moment: 0.0 μB per formula unit
- Uncorrected energy: -5.26 eV for the cell shown
- SG: No. 216

Geometry as POSCAR:
```
TlAu
1.0
-0.9974 -3.8748 2.3489
2.4568 -3.8639 -0.7486
2.9202 -1.5586 3.2510
Au Tl
1 1
Direct
0.0000 0.0000 0.0000
0.2500 0.2500 0.2500
```


Record 5
A plane-wave DFT calculation with PBE-GGA was carried out for a relaxed structure of PdSe6Cl3.

Computed properties:
- Crystal system: triclinic
- E_form (uncorrected): -0.194 eV/atom
- Size of the total moment: 0.0 μB per formula unit
- SG: No. 2

Geometry as POSCAR:
```
PdSe6Cl3
1.0
8.4907 -1.4028 -2.4456
-2.2843 8.2636 -1.3313
-1.1894 -0.3708 8.8728
Se Cl Pd
12 6 2
Direct
0.3732 0.1868 0.5108
0.4420 0.3692 0.1936
0.0644 0.1516 0.4027
0.9356 0.8484 0.5974
0.8881 0.6783 0.9380
0.1119 0.3217 0.0620
0.3209 0.0667 0.1915
0.8362 0.5620 0.6357
0.6268 0.8132 0.4892
0.1638 0.4380 0.3643
0.6791 0.9333 0.8085
0.5580 0.6308 0.8064
0.2390 0.6144 0.6942
0.5658 0.7329 0.1842
0.7610 0.3856 0.3058
0.2574 0.7640 0.3337
0.4342 0.2671 0.8157
0.7426 0.2360 0.6663
0.5000 0.5000 0.5000
0.0000 0.0000 0.0000
```


Record 6
A plane-wave DFT calculation with PBE-GGA was carried out for a relaxed structure of Re2OsSe.

Computed properties:
- Crystal system: orthorhombic
- E_form (uncorrected): 0.738 eV/atom
- Size of the total moment: 0.0 μB per formula unit
- SG: No. 35

Geometry as POSCAR:
```
Re2OsSe
1.0
-0.1287 2.6132 0.8496
-2.3481 -1.4263 -0.1381
1.2082 -2.8576 8.9722
Re Se Os
2 1 1
Direct
0.0000 0.0000 0.0006
0.5000 0.5000 0.2370
0.0000 0.0000 0.4986
0.5000 0.5000 0.7639
```


Record 7
A plane-wave DFT calculation with PBE-GGA was carried out for a relaxed structure of Ac3Tl2Pd7.

Computed properties:
- Crystal system: monoclinic
- Size of the total moment: 0.0 μB per formula unit
- Uncorrected energy: -60.24 eV for the cell shown
- SG: No. 10

Geometry as POSCAR:
```
Ac3Tl2Pd7
1.0
4.2781 0.0000 0.0000
0.0000 4.3922 -0.0048
0.0000 -2.1855 15.0028
Ac Pd Tl
3 7 2
Direct
0.0000 0.1890 0.3764
0.0000 0.8110 0.6236
0.5000 0.5000 0.0000
0.5000 0.0718 0.1438
0.0000 0.0000 0.0000
0.0000 0.4285 0.8578
0.0000 0.5715 0.1422
0.5000 0.9282 0.8562
0.5000 0.7224 0.4450
0.5000 0.2776 0.5550
0.5000 0.6283 0.2575
0.5000 0.3717 0.7425
```


Record 8
A plane-wave DFT calculation with PBE-GGA was carried out for a relaxed structure of Nb13Pt3.

Computed properties:
- Crystal system: orthorhombic
- Size of the total moment: 0.0 μB per formula unit
- Uncorrected energy: -153.27 eV for the cell shown
- SG: No. 38

Geometry as POSCAR:
```
Nb13Pt3
1.0
6.5000 0.0487 0.0000
0.0255 6.5002 0.0000
0.0000 0.0000 6.7022
Nb Pt
13 3
Direct
0.2561 0.7439 0.0000
0.2449 0.7551 0.5000
0.2422 0.2480 0.0000
0.5024 0.9991 0.7494
0.7456 0.7464 0.5000
0.7520 0.7578 0.0000
0.2536 0.2544 0.5000
0.7531 0.2469 0.5000
0.4985 0.5015 0.2517
0.5024 0.9991 0.2506
0.0009 0.4976 0.2506
0.0009 0.4976 0.7494
0.4985 0.5015 0.7483
0.0066 0.9934 0.7541
0.7357 0.2643 0.0000
0.0066 0.9934 0.2459
```


Record 9
A plane-wave DFT calculation with PBE-GGA was carried out for a relaxed structure of SrCoPt2.

Computed properties:
- Crystal system: trigonal
- Size of the total moment: 2.0 μB per formula unit
- Uncorrected energy: -22.37 eV for the cell shown
- SG: No. 166

Geometry as POSCAR:
```
SrCoPt2
1.0
4.4018 -0.0181 0.0046
2.2162 3.8032 0.0046
2.1967 1.2564 5.2782
Sr Pt Co
1 2 1
Direct
0.7500 0.7500 0.7500
0.5583 0.5583 0.3253
0.9417 0.9417 0.1747
0.2500 0.2500 0.2500
```


Record 10
A plane-wave DFT calculation with PBE-GGA was carried out for a relaxed structure of NpGa3Ir2.

Computed properties:
- Crystal system: trigonal
- Size of the total moment: 3.5 μB per formula unit
- Uncorrected energy: -81.85 eV for the cell shown
- SG: No. 166

Geometry as POSCAR:
```
NpGa3Ir2
1.0
5.9265 0.0000 0.0000
2.9632 5.1325 0.0000
2.9632 1.7108 6.8629
Ga Ir Np
6 4 2
Direct
0.7338 0.7338 0.2921
0.2404 0.7338 0.2921
0.7596 0.2662 0.7079
0.2662 0.2662 0.7079
0.7338 0.2404 0.2921
0.2662 0.7596 0.7079
0.0000 0.5000 0.0000
0.5000 0.5000 0.0000
0.0000 0.0000 0.0000
0.5000 0.0000 0.0000
0.7823 0.7823 0.6531
0.2177 0.2177 0.3469
```


Record 11
A plane-wave DFT calculation with PBE-GGA was carried out for a relaxed structure of ReRu3.

Computed properties:
- Crystal system: orthorhombic
- Energy relative to the lowest polymorph listed for this composition: 86.3 meV/atom
- Size of the total moment: 0.0 μB per formula unit
- SG: No. 59

Geometry as POSCAR:
```
ReRu3
1.0
5.4662 0.0000 0.0000
0.0000 4.7216 0.0000
0.0000 -0.0001 13.1725
Ru Re
18 6
Direct
0.2500 0.3332 0.4146
0.9998 0.1643 0.9138
0.9998 0.1642 0.5862
0.5011 0.5024 0.7500
0.7500 0.6668 0.5854
0.4989 0.4976 0.2500
0.9989 0.5024 0.7500
0.0011 0.4976 0.2500
0.0002 0.8358 0.0862
0.2500 0.3332 0.0854
0.7500 0.9980 0.2500
0.2500 0.0020 0.7500
0.4998 0.8358 0.4138
0.0002 0.8358 0.4138
0.5002 0.1643 0.9138
0.4998 0.8358 0.0862
0.5002 0.1642 0.5862
0.7500 0.6668 0.9146
0.7500 0.0015 0.7500
0.2500 0.6693 0.5884
0.7500 0.3307 0.0884
0.7500 0.3307 0.4116
0.2500 0.6693 0.9116
0.2500 0.9985 0.2500
```